UCo2Si2 | GGA-PBE | optimized geometry

Lattice parameters (Å, degrees): 3.879 3.879 9.475 90.00 90.00 90.00
Sites, in units of the cell vectors:
U1 0.250 0.250 0.249
U2 0.750 0.750 0.751
Co1 0.250 0.250 0.868
Co2 0.250 0.750 0.500
Co3 0.750 0.250 0.500
Co4 0.750 0.750 0.132
Si1 0.250 0.250 0.630
Si2 0.250 0.750 0.000
Si3 0.750 0.250 0.000
Si4 0.750 0.750 0.370

## Properties
V (Å³/f.u.): 71.28
Energy above the most stable polymorph in this dataset (meV per atom): 0.0
Size of the total moment (μB per cell): 1.364
Energy (eV per formula unit): -39.36